(1)
A relaxed structure of Ga2Cu3Pt3, computed with PBE.

a b c (Å): 3.9182 3.9457 7.2781
angles (deg): 90.00 90.00 90.00
With the nearest neighbours (Å) after each atom.
Space group Pmmm (No. 47)
Unique sites:
Ga (0.0000, 0.0000, 0.2494) [2 per cell]  6 Pt 2.67-2.69, 6 Cu 2.68-2.78
Cu (0.0000, 0.5000, 0.0000) [1 per cell]  4 Cu 2.65, 4 Ga 2.68, 4 Pt 2.78
Cu (0.5000, 0.5000, 0.2449) [2 per cell]  2 Cu 2.65, 6 Pt 2.66-2.71, 4 Ga 2.78
Pt (0.0000, 0.5000, 0.5000) [1 per cell]  4 Ga 2.69, 4 Cu 2.70, 4 Pt 2.78
Pt (0.5000, 0.0000, 0.0000) [1 per cell]  8 Cu 2.66-2.78, 4 Ga 2.67
Pt (0.5000, 0.0000, 0.5000) [1 per cell]  4 Ga 2.68, 4 Cu 2.71, 4 Pt 2.78

Properties
ΔE_f	-402.4	meV per atom
calculated density	13.51	g cm⁻³

=====

(2)
A relaxed structure of Pm8PrMg2, computed with PBE.

a b c (Å): 17.2173 5.3768 8.4792
angles (deg): 90.00 113.24 90.00
With the nearest neighbours (Å) after each atom.
Space group C2/m (No. 12)
Unique sites:
Pm (0.0526, 0.0000, 0.2347) [4 per cell]  1 Mg 3.43, 9 Pm 3.55-3.79, 2 Pr 3.84
Pm (0.0992, 0.5000, 0.9684) [4 per cell]  3 Mg 3.39-3.43, 1 Pr 3.65, 4 Pm 3.66-3.76
Pm (0.1481, 0.0000, 0.7044) [4 per cell]  3 Mg 3.31-3.40, 5 Pm 3.57-3.69, 2 Pr 3.64
Pm (0.1868, 0.5000, 0.4508) [4 per cell]  1 Mg 3.27, 5 Pm 3.35-3.57, 1 Pr 3.40
Pr (0.0000, 0.5000, 0.5000) [2 per cell]  8 Pm 3.40-3.65
Mg (0.2253, 0.0000, 0.1295) [4 per cell]  8 Pm 3.27-3.43

Properties
ΔE_f	9.7	meV per atom
energy above the lowest structure with this stoichiometry	0.000	eV/atom
calculated density	6.21	g cm⁻³

=====

(3)
A relaxed structure of NaHg7Pd5, computed with PBE.

a b c (Å): 5.8019 9.7041 9.5194
angles (deg): 90.00 90.00 90.00
With the nearest neighbours (Å) after each atom.
Space group Imm2 (No. 44)
Unique sites:
Na (0.0000, 0.0000, 0.0000) [2 per cell]  4 Hg 2.97-3.17
Hg (0.0000, 0.0000, 0.3121) [2 per cell]  6 Pd 2.89-2.96, 1 Na 2.97
Hg (0.0000, 0.0000, 0.6772) [2 per cell]  4 Pd 2.91, 2 Hg 3.02, 1 Na 3.07
Hg (0.0000, 0.3135, 0.5135) [4 per cell]  5 Pd 2.80-2.91, 1 Hg 2.97
Hg (0.0000, 0.3267, 0.9971) [4 per cell]  5 Pd 2.84-2.93, 1 Hg 3.06, 1 Na 3.17
Hg (0.0000, 0.5000, 0.2662) [2 per cell]  4 Pd 2.80, 6 Hg 2.97-3.06
Pd (0.0000, 0.5000, 0.7515) [2 per cell]  4 Pd 2.85, 6 Hg 2.88-2.96
Pd (0.2470, 0.2522, 0.2551) [8 per cell]  7 Hg 2.80-2.93, 3 Pd 2.85-2.94

Properties
ΔE_f	-197.4	meV per atom
calculated density	12.14	g cm⁻³